{"formula": "RbZrAsBr2", "functional": "PBE", "state": "optimized geometry", "lattice_angstrom": [[5.838, 0.000, 0.000], [0.000, 5.838, 0.000], [0.000, 0.000, 5.745]], "species": ["Rb", "Zr", "As", "Br", "Br"], "fractional_positions": [[0.000, 0.000, 0.000], [0.500, 0.500, 0.500], [0.000, 0.000, 0.500], [0.000, 0.500, 0.000], [0.500, 0.000, 0.000]], "e_form_raw_ev_per_atom": 0.752, "total_magnetization_mub_per_atom": 0.202, "dos_at_fermi_per_ev_fu": 4.3}

{"formula": "RbZrAs2Br", "functional": "PBE", "state": "optimized geometry", "lattice_angstrom": [[5.441, 0.000, 0.000], [0.000, 5.441, 0.000], [0.000, 0.000, 5.624]], "species": ["Rb", "Zr", "As", "As", "Br"], "fractional_positions": [[0.000, 0.000, 0.000], [0.500, 0.500, 0.500], [0.000, 0.500, 0.000], [0.500, 0.000, 0.000], [0.000, 0.000, 0.500]], "e_form_raw_ev_per_atom": 1.257, "total_magnetization_mub_per_atom": 0.099, "dos_at_fermi_per_ev_fu": 4.5}

{"formula": "RbZrAs2Br", "functional": "PBE", "state": "optimized geometry", "lattice_angstrom": [[5.202, 0.000, 0.000], [0.000, 5.202, 0.000], [0.000, 0.000, 5.841]], "species": ["Rb", "Zr", "As", "As", "Br"], "fractional_positions": [[0.000, 0.000, 0.000], [0.500, 0.500, 0.500], [0.000, 0.500, 0.500], [0.500, 0.000, 0.500], [0.500, 0.500, 0.000]], "e_form_raw_ev_per_atom": -0.651, "total_magnetization_mub_per_atom": 0.000, "dos_at_fermi_per_ev_fu": 1.8}

{"formula": "ReAsBr2", "functional": "PBE", "state": "optimized geometry", "lattice_angstrom": [[0.000, 3.339, 3.339], [3.339, 0.000, 3.339], [3.339, 3.339, 0.000]], "species": ["Re", "As", "Br", "Br"], "fractional_positions": [[0.000, 0.000, 0.000], [0.500, 0.500, 0.500], [0.250, 0.250, 0.250], [0.750, 0.750, 0.750]], "e_form_raw_ev_per_atom": 1.353, "total_magnetization_mub_per_atom": 0.000, "dos_at_fermi_per_ev_fu": 3.4}

{"formula": "ReAsBr2", "functional": "PBE", "state": "optimized geometry", "lattice_angstrom": [[3.139, 0.000, 0.000], [0.000, 4.625, 0.000], [0.000, 0.000, 5.740]], "species": ["Re", "As", "Br", "Br"], "fractional_positions": [[0.000, 0.000, 0.000], [0.500, 0.000, 0.500], [0.000, 0.500, 0.500], [0.500, 0.500, 0.000]], "e_form_raw_ev_per_atom": 1.143, "total_magnetization_mub_per_atom": 0.657, "dos_at_fermi_per_ev_fu": 2.5}

{"formula": "ReAs3Br", "functional": "PBE", "state": "optimized geometry", "lattice_angstrom": [[4.861, 0.000, 0.000], [0.000, 4.861, 0.000], [0.000, 0.000, 4.861]], "species": ["Re", "As", "As", "As", "Br"], "fractional_positions": [[0.000, 0.000, 0.000], [0.000, 0.000, 0.500], [0.000, 0.500, 0.000], [0.500, 0.000, 0.000], [0.500, 0.500, 0.500]], "e_form_raw_ev_per_atom": 0.430, "total_magnetization_mub_per_atom": 0.000, "dos_at_fermi_per_ev_fu": 5.5}

V: 39.2 33.3 31.6 18.6 20.8 23.0 (Å³/atom)
E: -2.750 -2.840 -4.749 -3.758 -3.968 -5.184 (eV/atom)